A plane-wave DFT calculation with PBE with a Hubbard U was carried out for a relaxed structure of MnSnIO2.

Structure (POSCAR):
```
MnSnIO2
1.0
4.1977 0.0000 0.0000
0.0000 4.1977 0.0000
0.0000 0.0000 5.5258
Sn O I Mn
1 2 1 1
Direct
0.5000 0.5000 0.5000
0.5000 0.0000 0.0000
0.0000 0.5000 0.0000
0.0000 0.0000 0.5000
0.0000 0.0000 0.0000
```

Calculated values
- Polymorph energy (0 for the lowest one): 74.5 kJ/mol of atoms
- Crystal system: tetragonal
- DFT total energy: -4.9157 eV/atom